First-principles (PBE) data for crystalline La2Ho3Tm9 at its relaxed geometry, as listed in Alexandria via LeMat-Bulk.

Summary:
Electronic total energy = -62.03 eV/cell
Spin magnetization = 0.0 μB/f.u.

Unit cell a=6.1441 b=13.2467 c=10.3992 alpha=40.83 beta=57.27 gamma=55.93
Positions (direct):
Tm  0.8026  0.8967  0.4847
Tm  0.5952  0.3054  0.0111
Tm  0.9925  0.5063  0.1563
Tm  0.1974  0.1033  0.5153
Tm  0.0075  0.4937  0.8437
Tm  0.4048  0.6946  0.9889
Tm  0.0000  0.5000  0.5000
Tm  0.7467  0.9155  0.8258
Tm  0.2533  0.0845  0.1742
La  0.5663  0.2924  0.6807
La  0.4337  0.7076  0.3193
Ho  0.0000  0.0000  0.0000
Ho  0.6407  0.2740  0.3429
Ho  0.3593  0.7260  0.6571